No. 1
First-principles (PBE) data for an optimized crystal structure of Ac2GeBr, as listed in Alexandria via LeMat-Bulk.

abc: 4.481 4.481 8.121
angles: 90.00 90.00 120.00
Atoms (fractional coordinates):
Ac: 0.333 0.667 0.288
Ac: 0.667 0.333 0.712
Ge: 0.000 0.000 0.500
Br: 0.000 0.000 0.000

Crystal system   trigonal
DOS(E_F)   0.65 states/eV per atom
Distance to the lowest polymorph of the same formula   60 meV per atom

***

No. 2
First-principles (PBE) data for an optimized crystal structure of Ac2GeBr, as listed in Alexandria via LeMat-Bulk.

abc: 7.946 7.946 7.946
angles: 33.87 33.87 33.87
Atoms (fractional coordinates):
Ac: 0.240 0.240 0.240
Ac: 0.760 0.760 0.760
Ge: 0.500 0.500 0.500
Br: 0.000 0.000 0.000

Crystal system   trigonal
DOS(E_F)   0.56 states/eV per atom
Distance to the lowest polymorph of the same formula   0 meV per atom

***

No. 3
First-principles (PBE) data for an optimized crystal structure of Ac4HgGeBr2, as listed in Alexandria via LeMat-Bulk.

abc: 7.808 4.638 8.289
angles: 90.00 109.83 90.00
Atoms (fractional coordinates):
Ac: 0.229 0.000 0.234
Ac: 0.232 0.500 0.751
Ac: 0.768 0.500 0.249
Ac: 0.771 0.000 0.766
Hg: 0.000 0.000 0.500
Ge: 0.000 0.500 0.000
Br: 0.500 0.000 0.000
Br: 0.500 0.500 0.500

Crystal system   monoclinic
DOS(E_F)   0.63 states/eV per atom

***

No. 4
First-principles (PBE) data for an optimized crystal structure of Ac6Ge2I3Br, as listed in Alexandria via LeMat-Bulk.

abc: 7.896 7.896 8.600
angles: 98.82 98.82 120.13
Atoms (fractional coordinates):
Ac: 0.086 0.432 0.794
Ac: 0.225 0.225 0.205
Ac: 0.432 0.086 0.794
Ac: 0.568 0.914 0.206
Ac: 0.775 0.775 0.795
Ac: 0.914 0.568 0.206
Ge: 0.166 0.834 0.000
Ge: 0.834 0.166 0.000
I: 0.000 0.000 0.500
I: 0.333 0.667 0.500
I: 0.667 0.333 0.500
Br: 0.500 0.500 0.000

Crystal system   monoclinic
DOS(E_F)   0.50 states/eV per atom

***

No. 5
First-principles (PBE) data for an optimized crystal structure of Ac6InGe2Br3, as listed in Alexandria via LeMat-Bulk.

abc: 10.342 10.342 9.266
angles: 100.29 100.29 26.00
Atoms (fractional coordinates):
Ac: 0.009 0.009 0.254
Ac: 0.326 0.326 0.430
Ac: 0.334 0.334 0.893
Ac: 0.666 0.666 0.107
Ac: 0.674 0.674 0.570
Ac: 0.991 0.991 0.746
In: 0.500 0.500 0.000
Ge: 0.168 0.168 0.338
Ge: 0.832 0.832 0.662
Br: 0.166 0.166 0.833
Br: 0.500 0.500 0.500
Br: 0.834 0.834 0.167

Crystal system   monoclinic
DOS(E_F)   0.52 states/eV per atom

***

No. 6
First-principles (PBE) data for an optimized crystal structure of Ac6GeIr2Br3, as listed in Alexandria via LeMat-Bulk.

abc: 7.746 7.746 8.522
angles: 98.70 98.70 120.00
Atoms (fractional coordinates):
Ac: 0.084 0.434 0.802
Ac: 0.216 0.216 0.198
Ac: 0.434 0.084 0.802
Ac: 0.566 0.916 0.198
Ac: 0.784 0.784 0.802
Ac: 0.916 0.566 0.198
Ge: 0.500 0.500 0.000
Ir: 0.167 0.833 0.000
Ir: 0.833 0.167 0.000
Br: 0.000 0.000 0.500
Br: 0.337 0.663 0.500
Br: 0.663 0.337 0.500

Crystal system   monoclinic
DOS(E_F)   0.61 states/eV per atom

***

No. 7
First-principles (PBE) data for an optimized crystal structure of Ac6Ge2IrBr3, as listed in Alexandria via LeMat-Bulk.

abc: 10.293 10.293 9.544
angles: 103.80 103.80 25.18
Atoms (fractional coordinates):
Ac: 0.003 0.003 0.215
Ac: 0.326 0.326 0.433
Ac: 0.350 0.350 0.900
Ac: 0.650 0.650 0.100
Ac: 0.674 0.674 0.567
Ac: 0.997 0.997 0.785
Ge: 0.164 0.164 0.337
Ge: 0.836 0.836 0.663
Ir: 0.500 0.500 0.000
Br: 0.177 0.177 0.839
Br: 0.500 0.500 0.500
Br: 0.823 0.823 0.161

Crystal system   monoclinic
DOS(E_F)   0.67 states/eV per atom

***

No. 8
First-principles (PBE) data for an optimized crystal structure of LiAcGeBr, as listed in Alexandria via LeMat-Bulk.

abc: 15.215 15.215 15.215
angles: 16.76 16.76 16.76
Atoms (fractional coordinates):
Li: 0.185 0.185 0.185
Li: 0.815 0.815 0.815
Ac: 0.417 0.417 0.417
Ac: 0.583 0.583 0.583
Ge: 0.126 0.126 0.126
Ge: 0.874 0.874 0.874
Br: 0.293 0.293 0.293
Br: 0.707 0.707 0.707

Crystal system   trigonal
DOS(E_F)   0.60 states/eV per atom

***

No. 9
First-principles (PBE) data for an optimized crystal structure of AcMgGeBr, as listed in Alexandria via LeMat-Bulk.

abc: 14.605 14.605 14.605
angles: 18.05 18.05 18.05
Atoms (fractional coordinates):
Ac: 0.083 0.083 0.083
Ac: 0.917 0.917 0.917
Mg: 0.312 0.312 0.312
Mg: 0.688 0.688 0.688
Ge: 0.377 0.377 0.377
Ge: 0.623 0.623 0.623
Br: 0.208 0.208 0.208
Br: 0.792 0.792 0.792

Crystal system   trigonal

***

No. 10
First-principles (PBE) data for an optimized crystal structure of Ac8Ge3Br4N, as listed in Alexandria via LeMat-Bulk.

abc: 9.353 9.353 9.353
angles: 56.29 56.29 56.29
Atoms (fractional coordinates):
Ac: 0.239 0.239 0.239
Ac: 0.264 0.718 0.718
Ac: 0.282 0.282 0.736
Ac: 0.282 0.736 0.282
Ac: 0.718 0.264 0.718
Ac: 0.718 0.718 0.264
Ac: 0.736 0.282 0.282
Ac: 0.761 0.761 0.761
Ge: 0.000 0.000 0.500
Ge: 0.000 0.500 0.000
Ge: 0.500 0.000 0.000
Br: 0.000 0.000 0.000
Br: 0.000 0.500 0.500
Br: 0.500 0.000 0.500
Br: 0.500 0.500 0.000
N: 0.500 0.500 0.500

Crystal system   trigonal
DOS(E_F)   0.58 states/eV per atom

***

No. 11
First-principles (PBE) data for an optimized crystal structure of Ac6Ge2Br3N, as listed in Alexandria via LeMat-Bulk.

abc: 7.540 7.540 8.181
angles: 98.79 98.79 119.86
Atoms (fractional coordinates):
Ac: 0.066 0.370 0.202
Ac: 0.234 0.234 0.792
Ac: 0.370 0.066 0.202
Ac: 0.630 0.934 0.798
Ac: 0.766 0.766 0.208
Ac: 0.934 0.630 0.798
Ge: 0.335 0.665 0.000
Ge: 0.665 0.335 0.000
Br: 0.182 0.818 0.500
Br: 0.500 0.500 0.500
Br: 0.818 0.182 0.500
N: 0.000 0.000 0.000

Crystal system   monoclinic
DOS(E_F)   0.54 states/eV per atom

***

No. 12
First-principles (PBE) data for an optimized crystal structure of AcNdGeBr, as listed in Alexandria via LeMat-Bulk.

abc: 5.412 5.412 5.412
angles: 60.00 60.00 60.00
Atoms (fractional coordinates):
Ac: 0.000 0.000 0.000
Nd: 0.500 0.500 0.500
Ge: 0.250 0.250 0.250
Br: 0.750 0.750 0.750

Crystal system   cubic
DOS(E_F)   0.65 states/eV per atom
Distance to the lowest polymorph of the same formula   0 meV per atom

***

No. 13
First-principles (PBE) data for an optimized crystal structure of AcNdGeBr, as listed in Alexandria via LeMat-Bulk.

abc: 6.202 5.281 5.281
angles: 59.89 90.00 90.00
Atoms (fractional coordinates):
Ac: 0.000 0.000 0.000
Nd: 0.500 0.668 0.668
Ge: 0.500 0.001 0.001
Br: 0.000 0.667 0.667

Crystal system   orthorhombic
DOS(E_F)   0.53 states/eV per atom
Distance to the lowest polymorph of the same formula   144 meV per atom

***

No. 14
First-principles (PBE) data for an optimized crystal structure of Ac6Ni2GeBr3, as listed in Alexandria via LeMat-Bulk.

abc: 10.370 10.370 9.610
angles: 107.00 107.00 24.37
Atoms (fractional coordinates):
Ac: 0.017 0.017 0.239
Ac: 0.321 0.321 0.449
Ac: 0.338 0.338 0.879
Ac: 0.662 0.662 0.121
Ac: 0.679 0.679 0.551
Ac: 0.983 0.983 0.761
Ni: 0.170 0.170 0.337
Ni: 0.830 0.830 0.663
Ge: 0.500 0.500 0.000
Br: 0.157 0.157 0.833
Br: 0.500 0.500 0.500
Br: 0.843 0.843 0.167

Crystal system   monoclinic
DOS(E_F)   0.77 states/eV per atom

***

No. 15
First-principles (PBE) data for an optimized crystal structure of Ac6NiGe2Br3, as listed in Alexandria via LeMat-Bulk.

abc: 10.189 10.189 9.410
angles: 103.18 103.18 25.53
Atoms (fractional coordinates):
Ac: 0.002 0.002 0.221
Ac: 0.327 0.327 0.432
Ac: 0.351 0.351 0.902
Ac: 0.649 0.649 0.098
Ac: 0.673 0.673 0.568
Ac: 0.998 0.998 0.779
Ni: 0.500 0.500 0.000
Ge: 0.163 0.163 0.337
Ge: 0.837 0.837 0.663
Br: 0.178 0.178 0.842
Br: 0.500 0.500 0.500
Br: 0.822 0.822 0.158

Crystal system   monoclinic
DOS(E_F)   0.69 states/eV per atom

***

No. 16
First-principles (PBE) data for an optimized crystal structure of Ac8Ni3GeBr4, as listed in Alexandria via LeMat-Bulk.

abc: 9.547 9.547 9.547
angles: 55.12 55.12 55.12
Atoms (fractional coordinates):
Ac: 0.219 0.740 0.740
Ac: 0.232 0.232 0.232
Ac: 0.260 0.260 0.781
Ac: 0.260 0.781 0.260
Ac: 0.740 0.219 0.740
Ac: 0.740 0.740 0.219
Ac: 0.768 0.768 0.768
Ac: 0.781 0.260 0.260
Ni: 0.000 0.000 0.500
Ni: 0.000 0.500 0.000
Ni: 0.500 0.000 0.000
Ge: 0.500 0.500 0.500
Br: 0.000 0.000 0.000
Br: 0.000 0.500 0.500
Br: 0.500 0.000 0.500
Br: 0.500 0.500 0.000

Crystal system   trigonal
DOS(E_F)   0.81 states/eV per atom

***

No. 17
First-principles (PBE) data for an optimized crystal structure of Ac4GeOsBr2, as listed in Alexandria via LeMat-Bulk.

abc: 7.908 4.440 8.370
angles: 90.00 106.73 90.00
Atoms (fractional coordinates):
Ac: 0.219 0.000 0.200
Ac: 0.244 0.500 0.802
Ac: 0.756 0.500 0.198
Ac: 0.781 0.000 0.800
Ge: 0.500 0.000 0.000
Os: 0.000 0.500 0.000
Br: 0.000 0.000 0.500
Br: 0.500 0.500 0.500

Crystal system   monoclinic
DOS(E_F)   0.56 states/eV per atom

***

No. 18
First-principles (PBE) data for an optimized crystal structure of Ac8GeP3Br4, as listed in Alexandria via LeMat-Bulk.

abc: 9.191 9.191 9.191
angles: 58.22 58.22 58.22
Atoms (fractional coordinates):
Ac: 0.230 0.740 0.740
Ac: 0.236 0.236 0.236
Ac: 0.260 0.260 0.770
Ac: 0.260 0.770 0.260
Ac: 0.740 0.230 0.740
Ac: 0.740 0.740 0.230
Ac: 0.764 0.764 0.764
Ac: 0.770 0.260 0.260
Ge: 0.500 0.500 0.500
P: 0.000 0.000 0.500
P: 0.000 0.500 0.000
P: 0.500 0.000 0.000
Br: 0.000 0.000 0.000
Br: 0.000 0.500 0.500
Br: 0.500 0.000 0.500
Br: 0.500 0.500 0.000

Crystal system   trigonal
DOS(E_F)   0.50 states/eV per atom

***

No. 19
First-principles (PBE) data for an optimized crystal structure of Ac6Ge2P3Br, as listed in Alexandria via LeMat-Bulk.

abc: 10.107 10.107 9.147
angles: 103.34 103.34 25.49
Atoms (fractional coordinates):
Ac: 0.001 0.001 0.228
Ac: 0.327 0.327 0.418
Ac: 0.333 0.333 0.913
Ac: 0.667 0.667 0.087
Ac: 0.673 0.673 0.582
Ac: 0.999 0.999 0.772
Ge: 0.163 0.163 0.826
Ge: 0.837 0.837 0.174
P: 0.163 0.163 0.335
P: 0.500 0.500 0.000
P: 0.837 0.837 0.665
Br: 0.500 0.500 0.500

Crystal system   monoclinic
DOS(E_F)   0.25 states/eV per atom

***

No. 20
First-principles (PBE) data for an optimized crystal structure of Ac4GePBr2, as listed in Alexandria via LeMat-Bulk.

abc: 7.803 4.511 8.066
angles: 90.00 108.88 90.00
Atoms (fractional coordinates):
Ac: 0.231 0.000 0.210
Ac: 0.255 0.500 0.786
Ac: 0.745 0.500 0.214
Ac: 0.769 0.000 0.790
Ge: 0.500 0.000 0.000
P: 0.000 0.500 0.000
Br: 0.000 0.000 0.500
Br: 0.500 0.500 0.500

Crystal system   monoclinic
DOS(E_F)   0.55 states/eV per atom

***

| no. | uncorrected formation energy (eV/atom) | volume (Å³/cell) |
| --- | --- | --- |
| 1 | -1.079 | 141.20 |
| 2 | -1.139 | 138.84 |
| 3 | -0.964 | 282.42 |
| 4 | -1.016 | 441.27 |
| 5 | -1.014 | 427.13 |
| 6 | -1.131 | 422.08 |
| 7 | -1.118 | 417.12 |
| 8 | -0.879 | 255.58 |
| 9 | -1.071 | 261.16 |
| 10 | -1.123 | 528.90 |
| 11 | -1.136 | 384.06 |
| 12 | -0.935 | 112.09 |
| 13 | -0.791 | 149.58 |
| 14 | -0.908 | 406.85 |
| 15 | -1.003 | 409.43 |
| 16 | -0.865 | 545.35 |
| 17 | -0.933 | 281.40 |
| 18 | -1.380 | 526.65 |
| 19 | -1.226 | 390.76 |
| 20 | -1.299 | 268.64 |